The following is a DFT calculation (PBE) of an optimized crystal structure of Ce2MgMn2Rh5.

abc: 3.8375 9.4641 9.4641
angles: 90.00 90.00 90.00
Closest atoms and distances in Å follow each position.
Fractional positions:
Ce: 0.0000 0.6810 0.1810  3 Mn 2.68-2.90
Ce: 0.0000 0.3190 0.8190  3 Mn 2.68-2.90
Ce: 0.0000 0.1810 0.3190  3 Mn 2.68-2.90
Ce: 0.0000 0.8190 0.6810  3 Mn 2.68-2.90
Mg: 0.0000 0.0000 0.0000  8 Rh 2.82
Mg: 0.0000 0.5000 0.5000  8 Rh 2.82
Mn: 0.0000 0.1186 0.6186  6 Rh 2.49-2.57, 1 Ce 2.68
Mn: 0.0000 0.8814 0.3814  6 Rh 2.49-2.57, 1 Ce 2.68
Mn: 0.0000 0.6186 0.8814  6 Rh 2.49-2.57, 1 Ce 2.68
Mn: 0.0000 0.3814 0.1186  6 Rh 2.49-2.57, 1 Ce 2.68
Rh: 0.5000 0.2073 0.0675  2 Mn 2.57, 2 Mg 2.82, 1 Rh 2.84
Rh: 0.5000 0.7927 0.9325  2 Mn 2.57, 2 Mg 2.82, 1 Rh 2.84
Rh: 0.5000 0.0675 0.7927  2 Mn 2.57, 2 Mg 2.82, 1 Rh 2.84
Rh: 0.5000 0.7073 0.4325  2 Mn 2.57, 2 Mg 2.82, 1 Rh 2.84
Rh: 0.5000 0.9325 0.2073  2 Mn 2.57, 2 Mg 2.82, 1 Rh 2.84
Rh: 0.5000 0.2927 0.5675  2 Mn 2.57, 2 Mg 2.82, 1 Rh 2.84
Rh: 0.5000 0.5675 0.7073  2 Mn 2.57, 2 Mg 2.82, 1 Rh 2.84
Rh: 0.5000 0.4325 0.2927  2 Mn 2.57, 2 Mg 2.82, 1 Rh 2.84
Rh: 0.5000 0.5000 0.0000  4 Mn 2.49
Rh: 0.5000 0.0000 0.5000  4 Mn 2.49

Results
**Magnetic moment**: 14.309 μB/cell
**Energy relative to the elements**: -0.40 eV per atom